DFT (PBE-GGA) results for a relaxed structure of Nd6Bi5Cl.

Lattice parameters (Å, degrees): 7.902 7.917 7.903 59.94 80.37 70.48
Element x y z (fractional)
1 Nd 0.255 0.253 0.000
2 Nd 0.250 0.580 0.337
3 Nd 0.750 0.420 0.663
4 Nd 0.750 0.083 0.337
5 Nd 0.745 0.747 0.000
6 Nd 0.250 0.917 0.663
7 Bi 0.500 0.833 0.334
8 Bi 0.500 0.500 0.000
9 Bi 0.000 0.334 0.333
10 Bi 0.500 0.167 0.666
11 Bi 0.000 0.666 0.667
12 Cl 0.000 0.000 0.000

Properties
* total magnetic moment: 0.00 μB/cell
* total DFT energy (no corrections): -5.18 eV/atom
* SG: C2/m, No. 12
* DOS at the Fermi energy: 3.46 states/eV per cell
* energy relative to the elements, uncorrected: -1.025 eV per atom